Ag8Sn: relaxed, GGA-PBE.

- E (hartree per atom) = -0.109

```
Ag8Sn
1.0
-4.569 4.569 2.006
4.569 -4.569 2.006
4.569 4.569 -2.006
Ag Sn
8 1
direct
0.000 0.336 0.336
0.000 0.664 0.664
0.330 0.330 0.660
0.330 0.670 0.000
0.336 0.000 0.336
0.664 0.000 0.664
0.670 0.330 0.000
0.670 0.670 0.340
0.000 0.000 0.000
```

***

Ag4Sn: relaxed, GGA-PBE.

- E (hartree per atom) = -0.090

```
Ag4Sn
1.0
5.193 0.000 0.000
0.000 5.193 0.000
0.000 0.000 5.193
Ag Sn
4 1
direct
0.000 0.000 0.000
0.000 0.500 0.500
0.500 0.000 0.500
0.500 0.500 0.000
0.500 0.500 0.500
```

***

AgSn3: relaxed, GGA-PBE.

- E (hartree per atom) = -0.133

```
AgSn3
1.0
-1.674 5.436 2.771
1.674 -5.436 2.771
1.674 5.436 -2.771
Ag Sn
1 3
direct
0.000 0.000 0.000
0.226 0.496 0.730
0.499 0.999 0.500
0.766 0.496 0.270
```

***

Ag3Sn: relaxed, GGA-PBE.

- E (hartree per atom) = -0.113

```
Ag3Sn
1.0
3.091 0.000 0.000
-1.545 2.677 0.000
0.000 0.000 9.723
Ag Sn
3 1
direct
0.000 0.000 0.000
0.667 0.333 0.237
0.667 0.333 0.763
0.000 0.000 0.500
```

***

AgSn3: relaxed, GGA-PBE.

- E (hartree per atom) = -0.133

```
AgSn3
1.0
-2.240 2.240 5.051
2.240 -2.240 5.051
2.240 2.240 -5.051
Ag Sn
1 3
direct
0.000 0.000 0.000
0.250 0.750 0.500
0.500 0.500 0.000
0.750 0.250 0.500
```

***

Ag3Sn: relaxed, GGA-PBE.

- E (hartree per atom) = -0.116

```
Ag3Sn
1.0
4.780 0.000 0.000
0.000 6.201 0.000
0.000 0.000 5.245
Ag Sn
6 2
direct
0.250 0.001 0.166
0.250 0.250 0.675
0.250 0.499 0.166
0.750 0.501 0.834
0.750 0.750 0.325
0.750 0.999 0.834
0.250 0.750 0.669
0.750 0.250 0.331
```